Entry 1:
DFT (meta-GGA SCAN) results for a PBEsol-optimized structure of ZrAlSb2.

a = 4.1288 Å, b = 5.8672 Å, c = 5.8672 Å
α = 38.73°, β = 90.00°, γ = 90.00°
Fractional coordinates of all 4 atoms:
Zr (0.0000, 0.0000, 0.0000)
Al (0.5000, 0.8189, 0.8189)
Sb (0.0000, 0.2872, 0.2872)
Sb (0.5000, 0.5758, 0.5758)

Calculated values
Symmetry   Amm2 (38)



Entry 2:
DFT (meta-GGA SCAN) results for a PBEsol-optimized structure of Zr2AlSb.

a = 5.5732 Å, b = 5.5732 Å, c = 5.5732 Å
α = 136.46°, β = 136.46°, γ = 63.27°
Fractional coordinates of all 4 atoms:
Zr (0.0000, 0.0000, 0.0000)
Zr (0.7500, 0.2500, 0.5000)
Al (0.2500, 0.7500, 0.5000)
Sb (0.5000, 0.5000, 0.0000)

Calculated values
Energy above the lowest structure with this stoichiometry   0 meV per atom
Symmetry   I-4m2 (119)



Entry 3:
DFT (meta-GGA SCAN) results for a PBEsol-optimized structure of Zr2AlSb.

a = 4.8697 Å, b = 4.8697 Å, c = 4.8697 Å
α = 60.00°, β = 60.00°, γ = 60.00°
Fractional coordinates of all 4 atoms:
Zr (0.0000, 0.0000, 0.0000)
Zr (0.2500, 0.2500, 0.2500)
Al (0.7500, 0.7500, 0.7500)
Sb (0.5000, 0.5000, 0.5000)

Calculated values
Energy above the lowest structure with this stoichiometry   498 meV per atom
Symmetry   F-43m (216)



Entry 4:
DFT (meta-GGA SCAN) results for a PBEsol-optimized structure of ZrAl2Sb.

a = 5.5055 Å, b = 5.5055 Å, c = 3.1285 Å
α = 99.52°, β = 99.52°, γ = 117.75°
Fractional coordinates of all 4 atoms:
Zr (0.0000, 0.0000, 0.0000)
Al (0.0000, 0.5000, 0.5000)
Al (0.5000, 0.0000, 0.5000)
Sb (0.5000, 0.5000, 0.0000)

Calculated values
Symmetry   C2/m (12)



Entry 5:
DFT (meta-GGA SCAN) results for a PBEsol-optimized structure of Zr2AlSb.

a = 3.1803 Å, b = 3.1803 Å, c = 8.2209 Å
α = 90.00°, β = 90.00°, γ = 99.70°
Fractional coordinates of all 4 atoms:
Zr (0.0000, 0.0000, 0.2384)
Zr (0.0000, 0.0000, 0.7616)
Al (0.5000, 0.5000, 0.0000)
Sb (0.5000, 0.5000, 0.5000)

Calculated values
Energy above the lowest structure with this stoichiometry   68 meV per atom
Symmetry   Cmmm (65)



Entry 6:
DFT (meta-GGA SCAN) results for a PBEsol-optimized structure of Zr2AlSb.

a = 10.7264 Å, b = 10.7264 Å, c = 10.7264 Å
α = 157.72°, β = 157.72°, γ = 31.71°
Fractional coordinates of all 8 atoms:
Zr (0.1239, 0.6250, 0.9989)
Zr (0.3750, 0.3739, 0.4989)
Zr (0.6261, 0.1250, 0.0011)
Zr (0.8750, 0.8761, 0.5011)
Al (0.0000, 0.0000, 0.0000)
Al (0.7500, 0.2500, 0.5000)
Sb (0.2500, 0.7500, 0.5000)
Sb (0.5000, 0.5000, 0.0000)

Calculated values
Energy above the lowest structure with this stoichiometry   540 meV per atom
Symmetry   I-42d (122)



Entry 7:
DFT (meta-GGA SCAN) results for a PBEsol-optimized structure of ZrAlSb2.

a = 5.4655 Å, b = 5.4655 Å, c = 5.4655 Å
α = 132.49°, β = 132.49°, γ = 69.45°
Fractional coordinates of all 4 atoms:
Zr (0.0000, 0.0000, 0.0000)
Al (0.5000, 0.5000, 0.0000)
Sb (0.2500, 0.7500, 0.5000)
Sb (0.7500, 0.2500, 0.5000)

Calculated values
Symmetry   I4/mmm (139)



Entry 8:
DFT (meta-GGA SCAN) results for a PBEsol-optimized structure of Zr2Al2Sb.

a = 6.7617 Å, b = 6.7617 Å, c = 6.7617 Å
α = 142.93°, β = 142.93°, γ = 53.43°
Fractional coordinates of all 5 atoms:
Zr (0.2500, 0.7500, 0.5000)
Zr (0.7500, 0.2500, 0.5000)
Al (0.1008, 0.1008, 0.0000)
Al (0.8992, 0.8992, 0.0000)
Sb (0.5000, 0.5000, 0.0000)

Calculated values
Symmetry   I4/mmm (139)



Which DFT total energy belongs to each record? In order, -114.9 -108.5 -106.5 -84.0 -108.2 -212.7 -113.5 -113.0 eV for the cell shown.